Entry from Alexandria: a relaxed structure of BaAcHg (GGA-PBE).

Computed properties:
M_tot   0.000 μB per atom
Formation energy   -282 meV/atom
N(E_F)   1.54 states/eV/atom
E above lowest polymorph   0.042 eV per atom
Raw total energy   -2.393 eV/atom

CIF file:
```
data_BaAcHg
_space_group_name_H-M_alt 'P 4/n m m'
_space_group_IT_number 129
_cell_length_a 5.431
_cell_length_b 5.431
_cell_length_c 8.636
_cell_angle_alpha 90.00
_cell_angle_beta 90.00
_cell_angle_gamma 90.00
loop_
_space_group_symop_operation_xyz
'x,y,z'
'-x,-y,-z'
'-y+1/2,x,z'
'y+1/2,-x,-z'
'-x+1/2,-y+1/2,z'
'x+1/2,y+1/2,-z'
'y,-x+1/2,z'
'-y,x+1/2,-z'
'x+1/2,-y,-z'
'-x+1/2,y,z'
'-y,-x,-z'
'y,x,z'
'-x,y+1/2,-z'
'x,-y+1/2,z'
'y+1/2,x+1/2,-z'
'-y+1/2,-x+1/2,z'
loop_
_atom_site_label
_atom_site_fract_x
_atom_site_fract_y
_atom_site_fract_z
Ba1 0.250 0.250 0.131
Ac1 0.250 0.750 0.500
Hg1 0.250 0.250 0.733
```